Record 1
A plane-wave DFT calculation with GGA-PBE was carried out for a geometry-optimized Ba6CdGe2 structure.

Calculated values
- total energy (eV per atom) = -2.746
- ΔE_f (eV per atom) = -0.34
- M_tot (μB/atom) = 0.102

Unit cell a=11.408 b=11.554 c=11.996 alpha=90.00 beta=90.00 gamma=90.00
Space group Immm (No. 71)
Asymmetric unit:
1 Ba 0.000 0.189 0.177
2 Ba 0.179 0.214 0.500
3 Ba 0.202 0.500 0.268
4 Cd 0.000 0.500 0.000
5 Cd 0.000 0.500 0.500
6 Ge 0.000 0.000 0.391
7 Ge 0.127 0.000 0.000



Record 2
A plane-wave DFT calculation with GGA-PBE was carried out for a geometry-optimized BaCdGe structure.

Calculated values
- total energy (eV per atom) = -2.852
- ΔE_f (eV per atom) = -0.37
- M_tot (μB/atom) = 0.000

Unit cell a=9.720 b=8.366 c=5.086 alpha=90.00 beta=121.45 gamma=90.00
Space group C2 (No. 5)
Asymmetric unit:
1 Ba 0.202 0.000 0.452
2 Cd 0.093 0.686 0.843
3 Ge 0.077 0.313 0.828



Record 3
A plane-wave DFT calculation with GGA-PBE was carried out for a geometry-optimized BaCdGe2 structure.

Calculated values
- total energy (eV per atom) = -3.222
- ΔE_f (eV per atom) = -0.20
- M_tot (μB/atom) = 0.000

Unit cell a=4.492 b=6.440 c=8.568 alpha=90.00 beta=90.00 gamma=90.00
Space group Amm2 (No. 38)
Asymmetric unit:
1 Ba 0.000 0.000 0.000
2 Cd 0.500 0.000 0.413
3 Ge 0.500 0.186 0.705



Record 4
A plane-wave DFT calculation with GGA-PBE was carried out for a geometry-optimized Ba3Cd4Ge4 structure.

Calculated values
- total energy (eV per atom) = -2.935
- ΔE_f (eV per atom) = -0.40
- M_tot (μB/atom) = 0.000

Unit cell a=5.060 b=7.502 c=15.931 alpha=90.00 beta=90.00 gamma=90.00
Space group Immm (No. 71)
Asymmetric unit:
1 Ba 0.000 0.000 0.000
2 Ba 0.000 0.500 0.126
3 Cd 0.000 0.304 0.335
4 Ge 0.000 0.000 0.217
5 Ge 0.000 0.173 0.500



Record 5
A plane-wave DFT calculation with GGA-PBE was carried out for a geometry-optimized Ba2CdGe2 structure.

Calculated values
- total energy (eV per atom) = -3.001
- ΔE_f (eV per atom) = -0.20
- M_tot (μB/atom) = 0.000

Unit cell a=6.527 b=6.527 c=8.399 alpha=90.00 beta=90.00 gamma=90.00
Space group I4/mmm (No. 139)
Asymmetric unit:
1 Ba 0.000 0.500 0.250
2 Cd 0.000 0.000 0.000
3 Ge 0.000 0.000 0.354



Record 6
A plane-wave DFT calculation with GGA-PBE was carried out for a geometry-optimized Ba3Cd9Ge2 structure.

Calculated values
- total energy (eV per atom) = -1.915
- ΔE_f (eV per atom) = -0.26
- M_tot (μB/atom) = 0.000

Unit cell a=5.097 b=10.842 c=14.224 alpha=90.00 beta=90.00 gamma=90.00
Space group Immm (No. 71)
Asymmetric unit:
1 Ba 0.000 0.000 0.000
2 Ba 0.000 0.000 0.315
3 Cd 0.000 0.282 0.132
4 Cd 0.000 0.364 0.338
5 Cd 0.000 0.500 0.000
6 Ge 0.000 0.215 0.500